No. 1
This record from Alexandria describes a relaxed BeCoSb2 crystal. The functional is PBE.

Output
Total moment (Bohr magnetons per cell): 0.00
Formation energy (no corrections) (eV/atom): 0.474
Theoretical density (g cm⁻³): 7.40
Electronic total energy (eV/cell): -17.181

Geometry as CIF:
```
data_BeCoSb2
_chemical_formula_sum 'Be1 Co1 Sb2'
_cell_length_a 3.092
_cell_length_b 3.178
_cell_length_c 7.109
_cell_angle_alpha 90.00
_cell_angle_beta 90.00
_cell_angle_gamma 90.00
_space_group_name_H-M_alt 'P 1'
_space_group_IT_number 1
loop_
_space_group_symop_operation_xyz
'x,y,z'
loop_
_atom_site_label
_atom_site_type_symbol
_atom_site_fract_x
_atom_site_fract_y
_atom_site_fract_z
Be1 Be 0.000 0.000 0.000
Co1 Co 0.000 0.000 0.500
Sb1 Sb 0.500 0.500 0.266
Sb2 Sb 0.500 0.500 0.734
```

No. 2
This record from Alexandria describes a relaxed Be2CoSb crystal. The functional is PBE.

Output
Total moment (Bohr magnetons per cell): 0.00
Formation energy (no corrections) (eV/atom): 0.399
Theoretical density (g cm⁻³): 6.62
Electronic total energy (eV/cell): -17.084

Geometry as CIF:
```
data_Be2CoSb
_chemical_formula_sum 'Be2 Co1 Sb1'
_cell_length_a 4.131
_cell_length_b 4.131
_cell_length_c 4.131
_cell_angle_alpha 60.00
_cell_angle_beta 60.00
_cell_angle_gamma 60.00
_space_group_name_H-M_alt 'P 1'
_space_group_IT_number 1
loop_
_space_group_symop_operation_xyz
'x,y,z'
loop_
_atom_site_label
_atom_site_type_symbol
_atom_site_fract_x
_atom_site_fract_y
_atom_site_fract_z
Be1 Be 0.000 0.000 0.000
Be2 Be 0.250 0.250 0.250
Co1 Co 0.750 0.750 0.750
Sb1 Sb 0.500 0.500 0.500
```

Number 1: DOS at the Fermi energy 0.47 states/eV per atom. Number 2: DOS at the Fermi energy 0.37 states/eV per atom.